Record 1
Density functional theory data (PBE) for a relaxed TaAg2Mo crystal.

Structure (CIF):
```
data_TaAg2Mo
_space_group_name_H-M_alt 'P 1'
_space_group_IT_number 1
_cell_length_a 2.7683
_cell_length_b 4.1742
_cell_length_c 5.9915
_cell_angle_alpha 90.00
_cell_angle_beta 91.89
_cell_angle_gamma 90.00
loop_
_space_group_symop_operation_xyz
'x,y,z'
loop_
_atom_site_label
_atom_site_type_symbol
_atom_site_fract_x
_atom_site_fract_y
_atom_site_fract_z
_atom_site_occupancy
Ta1 Ta 0.0000 0.0000 0.0000 1
Ag1 Ag 0.0440 0.0000 0.5044 1
Ag2 Ag 0.5250 0.5000 0.2644 1
Mo1 Mo 0.5636 0.5000 0.7637 1
```

DOS at the Fermi energy: 2.6 states/eV/cell
Magnetization: 0.00 μB/f.u.
Total energy: -6.738 eV/atom


Record 2
Density functional theory data (PBE) for a relaxed TaAg2Mo crystal.

Structure (CIF):
```
data_TaAg2Mo
_space_group_name_H-M_alt 'P 1'
_space_group_IT_number 1
_cell_length_a 2.7679
_cell_length_b 2.7679
_cell_length_c 9.0140
_cell_angle_alpha 90.00
_cell_angle_beta 90.00
_cell_angle_gamma 90.00
loop_
_space_group_symop_operation_xyz
'x,y,z'
loop_
_atom_site_label
_atom_site_type_symbol
_atom_site_fract_x
_atom_site_fract_y
_atom_site_fract_z
_atom_site_occupancy
Ta1 Ta 0.0000 0.0000 0.0000 1
Ag1 Ag 0.0000 0.0000 0.5036 1
Ag2 Ag 0.5000 0.5000 0.2516 1
Mo1 Mo 0.5000 0.5000 0.7495 1
```

DOS at the Fermi energy: 2.0 states/eV/cell
Magnetization: 0.00 μB/f.u.
Total energy: -6.834 eV/atom